The following is a DFT calculation (PBE) of Mg3CrH6 after structural relaxation.

The structure in extended XYZ format:
```
20
Lattice="4.895 0.000 -0.001 0.000 4.924 0.000 0.055 0.000 6.955" Properties=species:S:1:pos:R:3 pbc="T T T"
Mg 2.479 4.832 5.226
Mg 2.447 2.462 0.000
Mg 2.471 0.092 1.728
Mg 4.899 2.554 1.748
Mg 0.028 0.000 3.477
Mg 0.051 2.370 5.206
Cr 2.475 2.462 3.477
Cr 0.000 0.000 0.000
H 3.448 0.790 6.791
H 3.254 0.959 3.695
H 2.859 2.241 1.837
H 2.091 2.683 5.117
H 1.696 3.965 3.259
H 1.501 4.134 0.163
H 0.974 1.672 3.314
H 0.779 1.503 0.218
H 0.439 0.221 5.315
H 4.511 4.702 1.639
H 4.170 3.421 6.736
H 3.976 3.252 3.640
```

Results
symmetry: No. 14
total energy: -3.52 eV/atom
ρ: 2.59 Mg/m³